Model w:
! CoOs4, optimized geometry, DFT PBE-GGA; values from VASP
&SYSTEM
  ibrav = 0, nat = 5, ntyp = 2
/
ATOMIC_SPECIES
Os 190.23 Os.upf
Co 58.93 Co.upf
ATOMIC_POSITIONS crystal
Os 0.5938 0.7953 0.3891
Os 0.7953 0.4062 0.2015
Co 0.0000 0.0000 0.0000
Os 0.4062 0.2047 0.6109
Os 0.2047 0.5938 0.7985
CELL_PARAMETERS angstrom
-3.0024 3.0024 1.8954
3.0024 -3.0024 1.8954
3.0024 3.0024 -1.8954
! - DOS at the Fermi energy: 4.84 states/eV per cell
! - Calculated volume: 68.3 Å³/f.u.
! - Space-group type: I4/m, No. 87



Model x:
! CoOs4, optimized geometry, DFT PBE-GGA; values from VASP
&SYSTEM
  ibrav = 0, nat = 5, ntyp = 2
/
ATOMIC_SPECIES
Co 58.93 Co.upf
Os 190.23 Os.upf
ATOMIC_POSITIONS crystal
Co 0.5000 0.5000 0.5000
Os 0.0000 0.5000 0.5000
Os 0.5000 0.5000 0.0000
Os 0.5000 0.0000 0.5000
Os 0.0000 0.0000 0.0000
CELL_PARAMETERS angstrom
-4.0270 0.3072 -1.5302
0.9720 -2.8192 -3.1241
-1.2211 -3.2574 2.5595
! - DOS at the Fermi energy: 6.59 states/eV per cell
! - Calculated volume: 80.6 Å³/f.u.
! - Space-group type: Pm-3m, No. 221



Model y:
! CoOs4, optimized geometry, DFT PBE-GGA; values from VASP
&SYSTEM
  ibrav = 0, nat = 5, ntyp = 2
/
ATOMIC_SPECIES
Os 190.23 Os.upf
Co 58.93 Co.upf
ATOMIC_POSITIONS crystal
Os 0.2500 0.7500 0.5000
Os 0.6020 0.6020 0.0000
Co 0.0000 0.0000 0.0000
Os 0.7500 0.2500 0.5000
Os 0.3980 0.3980 0.0000
CELL_PARAMETERS angstrom
2.1585 4.1986 4.3230
-2.7021 5.2398 2.4936
-0.7733 -6.1832 -1.4646
! - DOS at the Fermi energy: 7.06 states/eV per cell
! - Calculated volume: 81.7 Å³/f.u.
! - Space-group type: I4/mmm, No. 139



Order of stability, best first: model w, model y, model x